# ThNpPd4

Crystalline ThNpPd4 at its relaxed geometry (PBE, Alexandria).

formation energy: -49 kJ/mol of atoms
total energy: -44.190 eV per cell
SG: F-43m
size of the total moment: 0.82 μB/atom

Unit cell a=5.487 b=5.487 c=5.487 alpha=60.00 beta=60.00 gamma=60.00
Last column: magnetic moment on the atom in μB.
Fractional positions:
1 Np 0.250 0.250 0.250  4.09
2 Pd 0.625 0.625 0.126  0.00
3 Pd 0.625 0.126 0.625  0.00
4 Pd 0.625 0.625 0.625  0.00
5 Pd 0.126 0.625 0.625  0.00
6 Th 0.000 0.000 0.000  0.33



# SnS2O8

Crystalline SnS2O8 at its relaxed geometry (PBE, Alexandria).

total energy: -530.586 eV per cell
excess energy over the best structure of this formula in the dataset: 0.000 eV/atom
SG: Pbca
size of the total moment: 0.00 μB/atom

Unit cell a=9.183 b=9.442 c=13.728 alpha=90.00 beta=90.00 gamma=90.00
Fractional positions:
1 Sn 0.111 0.139 0.128
2 Sn 0.389 0.139 0.628
3 Sn 0.611 0.361 0.128
4 Sn 0.889 0.361 0.628
5 Sn 0.111 0.639 0.372
6 Sn 0.389 0.639 0.872
7 Sn 0.611 0.861 0.372
8 Sn 0.889 0.861 0.872
9 S 0.061 0.081 0.720
10 S 0.439 0.081 0.220
11 S 0.939 0.419 0.220
12 S 0.561 0.419 0.720
13 S 0.439 0.581 0.280
14 S 0.061 0.581 0.780
15 S 0.561 0.919 0.780
16 S 0.939 0.919 0.280
17 S 0.685 0.159 0.487
18 S 0.815 0.159 0.987
19 S 0.185 0.341 0.487
20 S 0.315 0.341 0.987
21 S 0.685 0.659 0.013
22 S 0.815 0.659 0.513
23 S 0.185 0.841 0.013
24 S 0.315 0.841 0.513
25 O 0.703 0.001 0.475
26 O 0.797 0.001 0.975
27 O 0.990 0.001 0.360
28 O 0.510 0.001 0.860
29 O 0.479 0.023 0.320
30 O 0.021 0.023 0.820
31 O 0.226 0.092 0.728
32 O 0.274 0.092 0.228
33 O 0.732 0.189 0.081
34 O 0.768 0.189 0.581
35 O 0.974 0.188 0.011
36 O 0.526 0.188 0.511
37 O 0.004 0.232 0.723
38 O 0.496 0.232 0.223
39 O 0.729 0.240 0.405
40 O 0.771 0.240 0.905
41 O 0.229 0.260 0.405
42 O 0.271 0.260 0.905
43 O 0.996 0.268 0.223
44 O 0.504 0.268 0.723
45 O 0.026 0.312 0.511
46 O 0.474 0.312 0.011
47 O 0.232 0.311 0.081
48 O 0.268 0.311 0.581
49 O 0.774 0.408 0.228
50 O 0.726 0.408 0.728
51 O 0.521 0.477 0.820
52 O 0.979 0.477 0.320
53 O 0.490 0.499 0.360
54 O 0.010 0.499 0.860
55 O 0.203 0.499 0.475
56 O 0.297 0.499 0.975
57 O 0.703 0.501 0.025
58 O 0.797 0.501 0.525
59 O 0.510 0.501 0.640
60 O 0.990 0.501 0.140
61 O 0.479 0.523 0.180
62 O 0.021 0.523 0.680
63 O 0.274 0.592 0.272
64 O 0.226 0.592 0.772
65 O 0.732 0.689 0.419
66 O 0.768 0.689 0.919
67 O 0.526 0.688 0.989
68 O 0.974 0.688 0.489
69 O 0.496 0.732 0.277
70 O 0.004 0.732 0.777
71 O 0.729 0.740 0.095
72 O 0.771 0.740 0.595
73 O 0.229 0.760 0.095
74 O 0.271 0.760 0.595
75 O 0.504 0.768 0.777
76 O 0.996 0.768 0.277
77 O 0.474 0.812 0.489
78 O 0.026 0.812 0.989
79 O 0.232 0.811 0.419
80 O 0.268 0.811 0.919
81 O 0.726 0.908 0.772
82 O 0.774 0.908 0.272
83 O 0.521 0.977 0.680
84 O 0.979 0.977 0.180
85 O 0.010 0.999 0.640
86 O 0.490 0.999 0.140
87 O 0.203 0.999 0.025
88 O 0.297 0.999 0.525



# LiLa2Al4Au3

Crystalline LiLa2Al4Au3 at its relaxed geometry (PBE, Alexandria).

formation energy: -64 kJ/mol of atoms
total energy: -43.191 eV per cell
SG: P-4m2
size of the total moment: 0.00 μB/atom

Unit cell a=4.447 b=4.447 c=10.627 alpha=90.00 beta=90.00 gamma=90.00
Fractional positions:
1 Li 0.500 0.500 0.500
2 La 0.500 0.000 0.251
3 La 0.000 0.500 0.749
4 Al 0.500 0.500 0.000
5 Al 0.000 0.000 0.000
6 Al 0.500 0.000 0.631
7 Al 0.000 0.500 0.369
8 Au 0.000 0.000 0.500
9 Au 0.500 0.000 0.870
10 Au 0.000 0.500 0.130



# TiSiB2Cl

Crystalline TiSiB2Cl at its relaxed geometry (PBE, Alexandria).

total energy: -20.448 eV per cell
SG: P4/mmm
size of the total moment: 0.00 μB/atom

Unit cell a=3.902 b=4.564 c=3.902 alpha=90.00 beta=90.00 gamma=90.00
Fractional positions:
1 Si 0.500 0.500 0.500
2 Cl 0.000 0.000 0.000
3 B 0.000 0.000 0.500
4 B 0.500 0.000 0.000
5 Ti 0.000 0.500 0.000



# K2Ge2Au3

Crystalline K2Ge2Au3 at its relaxed geometry (PBE, Alexandria).

formation energy: -29 kJ/mol of atoms
total energy: -46.669 eV per cell
excess energy over the best structure of this formula in the dataset: 0.000 eV/atom
SG: P2_1/c
size of the total moment: 0.00 μB/atom

Unit cell a=7.007 b=6.965 c=8.779 alpha=90.00 beta=71.13 gamma=90.00
Fractional positions:
1 K 0.202 0.094 0.603
2 K 0.798 0.594 0.897
3 K 0.798 0.906 0.397
4 K 0.202 0.406 0.103
5 Ge 0.354 0.897 0.958
6 Ge 0.646 0.397 0.542
7 Ge 0.646 0.103 0.042
8 Ge 0.354 0.603 0.458
9 Au 0.433 0.680 0.719
10 Au 0.567 0.180 0.781
11 Au 0.567 0.320 0.281
12 Au 0.433 0.820 0.219
13 Au 0.000 0.000 0.000
14 Au 0.000 0.500 0.500



# Y12Tm5Cd2

Crystalline Y12Tm5Cd2 at its relaxed geometry (PBE, Alexandria).

formation energy: 5 kJ/mol of atoms
total energy: -100.822 eV per cell
SG: C2/m
size of the total moment: 0.00 μB/atom

Unit cell a=9.287 b=9.070 c=8.189 alpha=90.54 beta=90.00 gamma=120.79
Fractional positions:
1 Y 0.911 0.822 0.110
2 Y 0.031 0.692 0.760
3 Y 0.661 0.692 0.760
4 Y 0.178 0.751 0.340
5 Y 0.572 0.751 0.340
6 Y 0.447 0.894 0.684
7 Y 0.553 0.106 0.316
8 Y 0.822 0.249 0.660
9 Y 0.428 0.249 0.660
10 Y 0.969 0.308 0.240
11 Y 0.339 0.308 0.240
12 Y 0.089 0.178 0.890
13 Tm 0.238 0.475 0.584
14 Tm 0.307 0.614 0.996
15 Tm 0.000 0.000 0.500
16 Tm 0.693 0.386 0.004
17 Tm 0.762 0.525 0.416
18 Cd 0.687 0.000 0.000
19 Cd 0.313 0.000 0.000



# K4TlHg

Crystalline K4TlHg at its relaxed geometry (PBE, Alexandria).

formation energy: -11 kJ/mol of atoms
total energy: -30.981 eV per cell
excess energy over the best structure of this formula in the dataset: 0.000 eV/atom
SG: F-43m
size of the total moment: 0.00 μB/atom

Unit cell a=11.691 b=11.691 c=11.691 alpha=60.00 beta=60.00 gamma=60.00
Fractional positions:
1 K 0.386 0.386 0.386
2 K 0.841 0.386 0.386
3 K 0.386 0.841 0.386
4 K 0.386 0.386 0.841
5 K 0.549 0.549 0.951
6 K 0.951 0.951 0.549
7 K 0.549 0.951 0.549
8 K 0.951 0.549 0.951
9 K 0.951 0.549 0.549
10 K 0.549 0.951 0.951
11 K 0.192 0.192 0.808
12 K 0.808 0.808 0.192
13 K 0.192 0.808 0.192
14 K 0.808 0.192 0.808
15 K 0.808 0.192 0.192
16 K 0.192 0.808 0.808
17 Tl 0.176 0.176 0.176
18 Tl 0.472 0.176 0.176
19 Tl 0.176 0.472 0.176
20 Tl 0.176 0.176 0.472
21 Hg 0.601 0.601 0.601
22 Hg 0.197 0.601 0.601
23 Hg 0.601 0.197 0.601
24 Hg 0.601 0.601 0.197



# NpAgTe2O

Crystalline NpAgTe2O at its relaxed geometry (PBE, Alexandria).

total energy: -65.350 eV per cell
SG: P4/nmm
size of the total moment: 0.60 μB/atom

Unit cell a=3.886 b=3.886 c=16.080 alpha=90.00 beta=90.00 gamma=90.00
Last column: magnetic moment on the atom in μB.
Fractional positions:
1 Np 0.500 0.000 0.577  3.36
2 Np 0.000 0.500 0.423  3.36
3 Ag 0.500 0.000 0.062  0.00
4 Ag 0.000 0.500 0.938  0.00
5 Te 0.000 0.500 0.683  -0.19
6 Te 0.000 0.500 0.120  -0.01
7 Te 0.500 0.000 0.880  -0.01
8 Te 0.500 0.000 0.317  -0.19
9 O 0.000 0.000 0.500  -0.12
10 O 0.500 0.500 0.500  -0.12



# BaAcTe2

Crystalline BaAcTe2 at its relaxed geometry (PBE, Alexandria).

total energy: -18.102 eV per cell
excess energy over the best structure of this formula in the dataset: 0.189 eV/atom
SG: Fm-3m
size of the total moment: 0.00 μB/atom

Unit cell a=5.855 b=5.855 c=5.855 alpha=60.00 beta=60.00 gamma=60.00
Fractional positions:
1 Ac 0.000 0.000 0.000
2 Te 0.250 0.250 0.250
3 Te 0.750 0.750 0.750
4 Ba 0.500 0.500 0.500



# AlRh2

Crystalline AlRh2 at its relaxed geometry (PBE, Alexandria).

formation energy: -53 kJ/mol of atoms
total energy: -80.371 eV per cell
SG: P2_1/m
size of the total moment: 0.00 μB/atom

Unit cell a=3.984 b=7.140 c=6.236 alpha=107.87 beta=90.00 gamma=90.00
Fractional positions:
1 Rh 0.000 0.291 0.308
2 Rh 0.500 0.389 0.658
3 Rh 0.000 0.496 0.994
4 Rh 0.500 0.589 0.341
5 Rh 0.000 0.661 0.659
6 Rh 0.500 0.754 0.006
7 Rh 0.000 0.861 0.342
8 Rh 0.500 0.959 0.692
9 Al 0.000 0.971 0.983
10 Al 0.500 0.072 0.332
11 Al 0.000 0.178 0.668
12 Al 0.500 0.279 0.017



# CaSc2Si

Crystalline CaSc2Si at its relaxed geometry (PBE, Alexandria).

total energy: -20.146 eV per cell
SG: R3m
size of the total moment: 0.33 μB/atom

Unit cell a=10.177 b=10.177 c=10.177 alpha=19.15 beta=19.15 gamma=19.15
Last column: magnetic moment on the atom in μB.
Fractional positions:
1 Ca 0.763 0.763 0.763  0.01
2 Sc 0.993 0.993 0.993  0.44
3 Sc 0.239 0.239 0.239  0.27
4 Si 0.505 0.505 0.505  0.01



# Ta2InAg

Crystalline Ta2InAg at its relaxed geometry (PBE, Alexandria).

formation energy: 29 kJ/mol of atoms
total energy: -28.112 eV per cell
SG: Cm
size of the total moment: 0.00 μB/atom

Unit cell a=5.174 b=5.174 c=5.334 alpha=79.49 beta=79.49 gamma=33.03
Fractional positions:
1 In 0.750 0.750 0.730
2 Ag 0.505 0.505 0.514
3 Ta 0.990 0.990 0.034
4 Ta 0.255 0.255 0.222



# VTc2S2

Crystalline VTc2S2 at its relaxed geometry (PBE, Alexandria).

total energy: -37.785 eV per cell
excess energy over the best structure of this formula in the dataset: 0.047 eV/atom
SG: I4/mmm
size of the total moment: 0.58 μB/atom

Unit cell a=4.099 b=4.099 c=5.548 alpha=68.32 beta=68.32 gamma=90.00
Last column: magnetic moment on the atom in μB.
Fractional positions:
1 S 0.364 0.364 0.271  0.03
2 S 0.636 0.636 0.729  0.03
3 Tc 0.750 0.250 0.500  -0.15
4 Tc 0.250 0.750 0.500  -0.15
5 V 0.000 0.000 0.000  2.62



# ScTaCo4

Crystalline ScTaCo4 at its relaxed geometry (PBE, Alexandria).

formation energy: 19 kJ/mol of atoms
total energy: -45.415 eV per cell
excess energy over the best structure of this formula in the dataset: 0.441 eV/atom
SG: Pmmm
size of the total moment: 0.55 μB/atom

Unit cell a=2.788 b=7.733 c=4.011 alpha=89.98 beta=90.00 gamma=90.00
Last column: magnetic moment on the atom in μB.
Fractional positions:
1 Sc 0.000 0.000 0.000  -0.16
2 Ta 0.500 0.500 0.500  -0.13
3 Co 0.500 0.700 0.000  0.87
4 Co 0.500 0.300 0.000  0.87
5 Co 0.000 0.225 0.500  0.98
6 Co 0.000 0.775 0.500  0.98



# CuTcP2O

Crystalline CuTcP2O at its relaxed geometry (PBE, Alexandria).

total energy: -29.589 eV per cell
excess energy over the best structure of this formula in the dataset: 0.000 eV/atom
SG: P4/mmm
size of the total moment: 0.00 μB/atom

Unit cell a=4.740 b=4.740 c=3.666 alpha=90.00 beta=90.00 gamma=90.00
Fractional positions:
1 O 0.000 0.000 0.500
2 P 0.000 0.500 0.000
3 P 0.500 0.000 0.000
4 Tc 0.000 0.000 0.000
5 Cu 0.500 0.500 0.500



# Ta2TeOs2

Crystalline Ta2TeOs2 at its relaxed geometry (PBE, Alexandria).

total energy: -98.295 eV per cell
SG: P4/mbm
size of the total moment: 0.00 μB/atom

Unit cell a=7.796 b=7.796 c=3.018 alpha=90.00 beta=90.00 gamma=90.00
Fractional positions:
1 Te 0.000 0.000 0.000
2 Te 0.500 0.500 0.000
3 Os 0.362 0.862 0.000
4 Os 0.862 0.638 0.000
5 Os 0.638 0.138 0.000
6 Os 0.138 0.362 0.000
7 Ta 0.149 0.649 0.500
8 Ta 0.649 0.851 0.500
9 Ta 0.851 0.351 0.500
10 Ta 0.351 0.149 0.500



# Tl5Hg12Au2

Crystalline Tl5Hg12Au2 at its relaxed geometry (PBE, Alexandria).

formation energy: 1 kJ/mol of atoms
total energy: -21.767 eV per cell
SG: C2/m
size of the total moment: 0.00 μB/atom

Unit cell a=6.869 b=8.309 c=10.205 alpha=106.42 beta=109.67 gamma=90.00
Fractional positions:
1 Tl 0.758 0.863 0.517
2 Tl 0.665 0.181 0.330
3 Tl 0.000 0.500 0.000
4 Tl 0.335 0.819 0.670
5 Tl 0.242 0.137 0.483
6 Hg 0.087 0.213 0.173
7 Hg 0.343 0.829 0.220
8 Hg 0.877 0.829 0.220
9 Hg 0.407 0.534 0.352
10 Hg 0.944 0.534 0.352
11 Hg 0.467 0.643 0.934
12 Hg 0.533 0.357 0.066
13 Hg 0.593 0.466 0.648
14 Hg 0.056 0.466 0.648
15 Hg 0.657 0.171 0.780
16 Hg 0.123 0.171 0.780
17 Hg 0.913 0.787 0.827
18 Au 0.704 0.000 0.000
19 Au 0.296 0.000 0.000



# Li2CoSeBr

Crystalline Li2CoSeBr at its relaxed geometry (PBE, Alexandria).

total energy: -15.604 eV per cell
SG: P4/mmm
size of the total moment: 0.45 μB/atom

Unit cell a=4.397 b=9.817 c=4.397 alpha=90.00 beta=90.00 gamma=90.00
Last column: magnetic moment on the atom in μB.
Fractional positions:
1 Co 0.500 0.500 0.500  2.13
2 Se 0.000 0.000 0.000  0.00
3 Br 0.000 0.500 0.000  0.03
4 Li 0.000 0.000 0.500  0.00
5 Li 0.500 0.000 0.000  0.00



# Li2EuZn

Crystalline Li2EuZn at its relaxed geometry (PBE, Alexandria).

formation energy: 1 kJ/mol of atoms
total energy: -15.348 eV per cell
excess energy over the best structure of this formula in the dataset: 0.013 eV/atom
SG: Fm-3m
size of the total moment: 1.96 μB/atom

Unit cell a=5.006 b=5.006 c=5.006 alpha=60.00 beta=60.00 gamma=60.00
Last column: magnetic moment on the atom in μB.
Fractional positions:
1 Eu 0.000 0.000 0.000  6.98
2 Zn 0.500 0.500 0.500  0.04
3 Li 0.250 0.250 0.250  0.04
4 Li 0.750 0.750 0.750  0.04



# MnTe2Pb

Crystalline MnTe2Pb at its relaxed geometry (PBE, Alexandria).

total energy: -19.250 eV per cell
SG: Cm
size of the total moment: 0.91 μB/atom

Unit cell a=6.666 b=6.666 c=5.663 alpha=77.97 beta=77.97 gamma=33.59
Last column: magnetic moment on the atom in μB.
Fractional positions:
1 Mn 0.423 0.423 0.478  3.60
2 Pb 0.271 0.271 0.155  -0.04
3 Te 0.024 0.024 0.189  -0.06
4 Te 0.781 0.781 0.679  -0.04